# Ac2SmMoO6

A geometry-optimized Ac2SmMoO6 structure (GGA+U, Alexandria).

POSCAR file:
```
Ac2SmMoO6
1.0
5.991 0.000 0.000
0.000 6.181 0.000
-5.914 0.000 8.578
Ac Sm Mo O
4 2 2 12
direct
0.235 0.050 0.250
0.235 0.450 0.750
0.765 0.550 0.250
0.765 0.950 0.750
0.500 0.000 0.000
0.500 0.500 0.500
0.000 0.000 0.500
0.000 0.500 0.000
0.130 0.208 0.940
0.130 0.292 0.440
0.232 0.695 0.941
0.232 0.805 0.441
0.354 0.047 0.741
0.354 0.453 0.241
0.646 0.547 0.759
0.646 0.953 0.259
0.768 0.195 0.559
0.768 0.305 0.059
0.870 0.708 0.560
0.870 0.792 0.060
```

Results
* total DFT energy (no corrections): -158.60 eV per cell
* theoretical density: 8.326 g/cm3